i.
First-principles (GGA-PBEsol) data for a relaxed structure of InP2Pb, as listed in Alexandria via LeMat-Bulk.

Cell lengths 3.3623, 3.3623, 9.0867 Å; angles 79.34, 79.34, 60.00 degrees
Sites, in units of the cell vectors:
P 0.0164 0.0164 0.9506
P 0.7294 0.7294 0.8117
In 0.2625 0.2625 0.2125
Pb 0.4916 0.4916 0.5251

Crystal system = trigonal
V = 21.73 Å³ per atom
Total magnetic moment = 0.0 μB per cell

=====

ii.
First-principles (GGA-PBEsol) data for a relaxed structure of InP2Pb, as listed in Alexandria via LeMat-Bulk.

Cell lengths 3.2654, 4.3742, 7.4385 Å; angles 107.55, 90.00, 111.92 degrees
Sites, in units of the cell vectors:
Pb 0.5215 0.0429 0.5297
P 0.9278 0.8556 0.9878
P 0.3306 0.6611 0.7778
In 0.7202 0.4403 0.2047

Crystal system = monoclinic
V = 23.30 Å³ per atom
Total magnetic moment = 0.0 μB per cell

=====

iii.
First-principles (GGA-PBEsol) data for a relaxed structure of InP2Pb, as listed in Alexandria via LeMat-Bulk.

Cell lengths 4.8879, 4.8955, 4.8879 Å; angles 60.05, 90.00, 119.95 degrees
Sites, in units of the cell vectors:
P 0.7500 0.5000 0.7500
P 0.2500 0.5000 0.2500
Pb 0.5000 0.0000 0.5000
In 0.0000 0.0000 0.0000

Crystal system = tetragonal
V = 20.71 Å³ per atom
Total magnetic moment = 0.0 μB per cell

=====

Stability summary: most stable i, least stable iii.